Here is a relaxed LaIr2Cl crystal from Alexandria via LeMat-Bulk. Energies are from PBE.

**Energy above the lowest structure with this stoichiometry**: 9.3 kJ per mole of atoms
**Energy relative to the elements, uncorrected**: -51 kJ/mol of atoms
**Final energy**: -6.653 eV per atom

Lattice parameters (Å, degrees): 3.516 3.575 8.214 90.00 96.56 90.00
Atoms (fractional coordinates):
La 0.000 0.000 0.000
Ir 0.432 0.500 0.744
Ir 0.912 0.000 0.671
Cl 0.554 0.500 0.203

***

Here is a relaxed La2IrCl2 crystal from Alexandria via LeMat-Bulk. Energies are from PBE.

**Energy relative to the elements, uncorrected**: -147 kJ/mol of atoms
**Final energy**: -6.010 eV per atom

Lattice parameters (Å, degrees): 10.860 10.860 10.860 22.00 22.00 22.00
Atoms (fractional coordinates):
La 0.114 0.114 0.114
La 0.886 0.886 0.886
Ir 0.500 0.500 0.500
Cl 0.390 0.390 0.390
Cl 0.610 0.610 0.610

***

Here is a relaxed LaIr3Cl crystal from Alexandria via LeMat-Bulk. Energies are from PBE.

**Energy above the lowest structure with this stoichiometry**: 0.0 kJ per mole of atoms
**Energy relative to the elements, uncorrected**: 62 kJ/mol of atoms
**Final energy**: -6.027 eV per atom

Lattice parameters (Å, degrees): 4.587 4.587 4.587 90.00 90.00 90.00
Atoms (fractional coordinates):
La 0.000 0.000 0.000
Ir 0.000 0.500 0.500
Ir 0.500 0.000 0.500
Ir 0.500 0.500 0.000
Cl 0.500 0.500 0.500

***

Here is a relaxed LaIrCl crystal from Alexandria via LeMat-Bulk. Energies are from PBE.

**Energy above the lowest structure with this stoichiometry**: 104.9 kJ per mole of atoms
**Energy relative to the elements, uncorrected**: -39 kJ/mol of atoms
**Final energy**: -5.611 eV per atom

Lattice parameters (Å, degrees): 4.740 4.740 4.740 60.00 60.00 60.00
Atoms (fractional coordinates):
La 0.000 0.000 0.000
Ir 0.750 0.750 0.750
Cl 0.500 0.500 0.500

***

Here is a relaxed LaIr3Cl crystal from Alexandria via LeMat-Bulk. Energies are from PBE.

**Energy above the lowest structure with this stoichiometry**: 142.6 kJ per mole of atoms
**Energy relative to the elements, uncorrected**: 205 kJ/mol of atoms
**Final energy**: -4.549 eV per atom

Lattice parameters (Å, degrees): 5.116 5.116 5.116 90.00 90.00 90.00
Atoms (fractional coordinates):
La 0.000 0.000 0.000
Ir 0.000 0.000 0.500
Ir 0.000 0.500 0.000
Ir 0.500 0.000 0.000
Cl 0.500 0.500 0.500

***

Here is a relaxed LaIr2Cl crystal from Alexandria via LeMat-Bulk. Energies are from PBE.

**Energy above the lowest structure with this stoichiometry**: 102.8 kJ per mole of atoms
**Energy relative to the elements, uncorrected**: 42 kJ/mol of atoms
**Final energy**: -5.684 eV per atom

Lattice parameters (Å, degrees): 3.178 3.178 8.079 90.00 90.00 107.66
Atoms (fractional coordinates):
La 0.000 0.000 0.000
Ir 0.500 0.500 0.256
Ir 0.500 0.500 0.744
Cl 0.000 0.000 0.500

***

Here is a relaxed LaIrCl crystal from Alexandria via LeMat-Bulk. Energies are from PBE.

**Energy above the lowest structure with this stoichiometry**: 0.0 kJ per mole of atoms
**Energy relative to the elements, uncorrected**: -143 kJ/mol of atoms
**Final energy**: -6.698 eV per atom

Lattice parameters (Å, degrees): 4.362 4.362 10.715 91.59 91.59 60.04
Atoms (fractional coordinates):
La 0.008 0.008 0.181
La 0.992 0.992 0.819
Ir 0.334 0.334 0.005
Ir 0.666 0.666 0.995
Cl 0.318 0.318 0.664
Cl 0.682 0.682 0.336

***

Here is a relaxed LaIr2Cl crystal from Alexandria via LeMat-Bulk. Energies are from PBE.

**Energy above the lowest structure with this stoichiometry**: 72.8 kJ per mole of atoms
**Energy relative to the elements, uncorrected**: 12 kJ/mol of atoms
**Final energy**: -5.995 eV per atom

Lattice parameters (Å, degrees): 8.398 8.398 8.398 145.43 145.43 49.69
Atoms (fractional coordinates):
La 0.000 0.000 0.000
La 0.750 0.250 0.500
Ir 0.305 0.625 0.180
Ir 0.375 0.555 0.680
Ir 0.445 0.125 0.820
Ir 0.875 0.695 0.320
Cl 0.250 0.750 0.500
Cl 0.500 0.500 0.000

***

- Which value of energy relative to the elements, uncorrected does entry 3 give?
  62 kJ/mol of atoms